Computed, not measured: La2HgRh after structural relaxation at the GGA-PBE level of DFT.

a = 7.057 Å, b = 7.057 Å, c = 7.057 Å
α = 149.56°, β = 141.89°, γ = 49.53°
Positions (direct):
1 La 0.000 0.000 0.000
2 La 0.705 0.205 0.500
3 Hg 0.317 0.817 0.500
4 Rh 0.511 0.511 0.000

Values from the calculation:
SG ... Imm2
DOS(E_F) ... 3.6 states/eV/cell
Mass density ... 8.8 g cm⁻³
Total moment ... 0.00 Bohr magnetons per cell
Energy relative to the elements ... -482.8 meV per atom

Computed, not measured: Tm3GaP2Rh9 after structural relaxation at the GGA-PBE level of DFT.

a = 6.029 Å, b = 6.029 Å, c = 8.902 Å
α = 90.00°, β = 90.00°, γ = 120.00°
Positions (direct):
1 Tm 0.000 0.000 0.000
2 Tm 0.333 0.667 0.714
3 Tm 0.667 0.333 0.286
4 Ga 0.000 0.000 0.500
5 P 0.333 0.667 0.166
6 P 0.667 0.333 0.834
7 Rh 0.000 0.500 0.000
8 Rh 0.149 0.297 0.276
9 Rh 0.149 0.851 0.276
10 Rh 0.297 0.149 0.724
11 Rh 0.500 0.000 0.000
12 Rh 0.500 0.500 0.000
13 Rh 0.703 0.851 0.276
14 Rh 0.851 0.149 0.724
15 Rh 0.851 0.703 0.724

Values from the calculation:
SG ... P-3m1
DOS(E_F) ... 9.4 states/eV/cell
Mass density ... 9.3 g cm⁻³
Total moment ... 0.00 Bohr magnetons per cell
Energy relative to the elements ... -654.8 meV per atom

Computed, not measured: PrAlAu2 after structural relaxation at the GGA-PBE level of DFT.

a = 7.414 Å, b = 4.620 Å, c = 10.362 Å
α = 90.00°, β = 90.00°, γ = 90.00°
Positions (direct):
1 Pr 0.164 0.250 0.144
2 Pr 0.336 0.750 0.644
3 Pr 0.664 0.250 0.356
4 Pr 0.836 0.750 0.856
5 Al 0.042 0.750 0.397
6 Al 0.458 0.250 0.897
7 Al 0.542 0.750 0.103
8 Al 0.958 0.250 0.603
9 Au 0.120 0.250 0.817
10 Au 0.224 0.250 0.446
11 Au 0.276 0.750 0.946
12 Au 0.380 0.750 0.317
13 Au 0.620 0.250 0.683
14 Au 0.724 0.250 0.054
15 Au 0.776 0.750 0.554
16 Au 0.880 0.750 0.183

Values from the calculation:
SG ... Pnma
DOS(E_F) ... 6.1 states/eV/cell
Mass density ... 10.5 g cm⁻³
Total moment ... 0.00 Bohr magnetons per cell
Energy relative to the elements ... -742.7 meV per atom